1.
MgSb2Ir: relaxed, PBE-GGA.

a b c (Å): 6.0454 7.3810 3.6878
angles (deg): 90.00 90.79 90.00
Closest atoms and distances in Å follow each position.
Space group C2/m (No. 12)
Symmetry-distinct sites (fractional):
Mg (0.0000, 0.0000, 0.0000)  8 Sb 3.00-3.03, 2 Ir 3.02
Sb (0.2500, 0.2500, 0.5000)  4 Mg 3.00-3.03, 4 Ir 3.00-3.03, 2 Sb 3.02
Ir (0.0000, 0.5000, 0.0000)  8 Sb 3.00-3.03, 2 Mg 3.02

***

2.
Mg2SbIr: relaxed, PBE-GGA.

a b c (Å): 4.2736 4.2736 8.0124
angles (deg): 90.00 90.00 90.00
Closest atoms and distances in Å follow each position.
Space group I-4m2 (No. 119)
Symmetry-distinct sites (fractional):
Mg (0.0000, 0.0000, 0.0000)  4 Sb 2.93, 4 Mg 2.93, 4 Ir 3.02
Mg (0.0000, 0.5000, 0.2500)  4 Mg 2.93, 4 Ir 2.93, 4 Sb 3.02
Sb (0.0000, 0.5000, 0.7500)  8 Mg 2.93-3.02, 4 Ir 2.93
Ir (0.0000, 0.0000, 0.5000)  4 Sb 2.93, 8 Mg 2.93-3.02

***

Short version: final energy = -4.5880, -4.2472 eV/atom, in the order given.
Short version: M_tot = 0.00, 0.00 μB/f.u., in the order given.